This record from Alexandria describes crystalline SrScMn2 at its relaxed geometry. The functional is GGA-PBE.

Summary:
The value obtained for the density of states at the Fermi level is 5.88 states/eV/f.u. The offset from the most stable computed form is 311.5 meV per atom.

Cell: 5.0405 5.0405 5.0405 Å, 60.00 60.00 60.00°
With the nearest neighbours (Å) after each atom.
Element x y z (fractional)
Sr 0.0000 0.0000 0.0000  4 Mn 3.09, 4 Sc 3.09
Sc 0.2500 0.2500 0.2500  4 Mn 3.09, 4 Sr 3.09
Mn 0.5000 0.5000 0.5000  4 Mn 3.09, 4 Sc 3.09
Mn 0.7500 0.7500 0.7500  4 Mn 3.09, 4 Sr 3.09

---

This record from Alexandria describes crystalline SrScMn2 at its relaxed geometry. The functional is GGA-PBE.

Summary:
The value obtained for the density of states at the Fermi level is 5.46 states/eV/f.u. The offset from the most stable computed form is 483.3 meV per atom.

Cell: 9.7887 9.7887 9.7887 Å, 149.96 149.96 43.00°
With the nearest neighbours (Å) after each atom.
Element x y z (fractional)
Sr 0.0000 0.0000 0.0000  4 Sc 3.59, 8 Mn 3.63-3.64
Sr 0.7500 0.2500 0.5000  4 Sc 3.59, 8 Mn 3.63-3.64
Sc 0.2500 0.7500 0.5000  4 Mn 2.61
Sc 0.5000 0.5000 0.0000  4 Mn 2.61
Mn 0.3730 0.1250 0.7480  2 Mn 2.54, 2 Sc 2.61
Mn 0.3750 0.6270 0.7520  2 Mn 2.54, 2 Sc 2.61
Mn 0.3770 0.6250 0.2520  2 Mn 2.54, 2 Sc 2.61
Mn 0.8750 0.6230 0.2480  2 Mn 2.54, 2 Sc 2.61

---

This record from Alexandria describes crystalline Sr3ScMn at its relaxed geometry. The functional is GGA-PBE.

Summary:
The value obtained for the density of states at the Fermi level is 17.72 states/eV/f.u.

Cell: 5.7069 5.7069 5.7069 Å, 90.00 90.00 90.00°
With the nearest neighbours (Å) after each atom.
Element x y z (fractional)
Sr 0.0000 0.0000 0.5000  2 Mn 2.85
Sr 0.0000 0.5000 0.0000  2 Mn 2.85
Sr 0.5000 0.0000 0.0000  2 Mn 2.85
Sc 0.5000 0.5000 0.5000  12 Sr 4.04
Mn 0.0000 0.0000 0.0000  6 Sr 2.85

---

This record from Alexandria describes crystalline SrScMn2 at its relaxed geometry. The functional is GGA-PBE.

Summary:
The value obtained for the density of states at the Fermi level is 6.02 states/eV/f.u. The offset from the most stable computed form is 61.3 meV per atom.

Cell: 3.6427 6.2840 6.2840 Å, 41.46 90.00 90.00°
With the nearest neighbours (Å) after each atom.
Element x y z (fractional)
Sr 0.0000 0.0000 0.0000  7 Mn 3.21-3.48
Sc 0.5000 0.7289 0.7289  6 Mn 2.81-2.92
Mn 0.0000 0.2727 0.2727  2 Mn 2.18
Mn 0.5000 0.3743 0.3743  2 Mn 2.18

---

Number 1: energy relative to the elements 2.65 eV/f.u., calculated density 4.4 Mg/m³, V 22.64 Å³ per atom. Number 2: energy relative to the elements 3.33 eV/f.u., calculated density 3.4 Mg/m³, V 29.30 Å³ per atom. Number 3: energy relative to the elements 4.58 eV/f.u., calculated density 3.2 Mg/m³, V 37.17 Å³ per atom. Number 4: energy relative to the elements 1.64 eV/f.u., calculated density 4.2 Mg/m³, V 23.81 Å³ per atom.